1.
Compound: YZrSc2
Source: Alexandria via LeMat-Bulk
Functional: meta-GGA SCAN
Structure: PBEsol geometry

Summary:
Fermi-level density of states, states/eV per atom: 1.348
Total magnetization, μB/f.u.: 0.00
Space group: I-4m2
Theoretical density, Mg/m³: 4.6
Excess energy over the best structure of this formula in the dataset, meV/atom: 28
ΔE_f, eV per atom: 0.101

a b c (Å): 4.608 4.608 5.624
angles (deg): 114.19 114.19 90.00
Fractional coordinates of all 4 atoms:
Y 0.000 0.000 0.000
Sc 0.500 0.500 0.000
Sc 0.750 0.250 0.500
Zr 0.250 0.750 0.500



2.
Compound: ScZn22
Source: Alexandria via LeMat-Bulk
Functional: meta-GGA SCAN
Structure: PBEsol geometry

Summary:
Fermi-level density of states, states/eV per atom: 0.232
Total magnetization, μB/f.u.: 0.00
Space group: Fd-3m
Theoretical density, Mg/m³: 7.4
ΔE_f, eV per atom: -0.076

a b c (Å): 9.808 9.808 9.808
angles (deg): 60.00 60.00 60.00
Fractional coordinates of all 46 atoms:
Sc 0.250 0.250 0.250
Sc 0.000 0.000 0.000
Zn 0.444 0.183 0.444
Zn 0.444 0.929 0.444
Zn 0.929 0.444 0.183
Zn 0.183 0.444 0.929
Zn 0.929 0.183 0.444
Zn 0.183 0.929 0.444
Zn 0.444 0.444 0.929
Zn 0.444 0.444 0.183
Zn 0.444 0.183 0.929
Zn 0.444 0.929 0.183
Zn 0.183 0.444 0.444
Zn 0.929 0.444 0.444
Zn 0.806 0.321 0.806
Zn 0.806 0.067 0.806
Zn 0.321 0.806 0.067
Zn 0.067 0.806 0.321
Zn 0.321 0.806 0.806
Zn 0.067 0.806 0.806
Zn 0.806 0.067 0.321
Zn 0.806 0.321 0.067
Zn 0.806 0.806 0.321
Zn 0.806 0.806 0.067
Zn 0.067 0.321 0.806
Zn 0.321 0.067 0.806
Zn 0.890 0.890 0.610
Zn 0.610 0.610 0.890
Zn 0.610 0.890 0.890
Zn 0.890 0.610 0.610
Zn 0.610 0.890 0.610
Zn 0.890 0.610 0.890
Zn 0.360 0.640 0.640
Zn 0.640 0.360 0.360
Zn 0.640 0.640 0.360
Zn 0.360 0.360 0.640
Zn 0.640 0.360 0.640
Zn 0.360 0.640 0.360
Zn 0.125 0.625 0.125
Zn 0.125 0.125 0.125
Zn 0.125 0.125 0.625
Zn 0.625 0.125 0.125
Zn 0.625 0.125 0.625
Zn 0.625 0.625 0.625
Zn 0.625 0.625 0.125
Zn 0.125 0.625 0.625



3.
Compound: ScZn2
Source: Alexandria via LeMat-Bulk
Functional: meta-GGA SCAN
Structure: PBEsol geometry

Summary:
Fermi-level density of states, states/eV per atom: 0.562
Total magnetization, μB/f.u.: 0.00
Space group: P-3m1
Theoretical density, Mg/m³: 6.0
ΔE_f, eV per atom: -0.380

a b c (Å): 4.488 4.488 5.619
angles (deg): 89.99 90.00 120.00
Fractional coordinates of all 6 atoms:
Sc 0.667 0.333 0.804
Sc 0.333 0.667 0.196
Zn 0.000 0.000 0.000
Zn 0.667 0.333 0.316
Zn 0.000 0.000 0.500
Zn 0.333 0.667 0.684



4.
Compound: Sc2Zn3
Source: Alexandria via LeMat-Bulk
Functional: meta-GGA SCAN
Structure: PBEsol geometry

Summary:
Fermi-level density of states, states/eV per atom: 1.096
Total magnetization, μB/f.u.: 0.00
Space group: Fdd2
Theoretical density, Mg/m³: 5.4
ΔE_f, eV per atom: -0.399

a b c (Å): 5.409 5.409 7.378
angles (deg): 100.85 100.85 119.09
Fractional coordinates of all 10 atoms:
Sc 0.837 0.492 0.106
Sc 0.386 0.730 0.894
Sc 0.980 0.136 0.394
Sc 0.742 0.587 0.606
Zn 0.420 0.563 0.240
Zn 0.323 0.180 0.760
Zn 0.430 0.073 0.260
Zn 0.813 0.170 0.740
Zn 0.035 0.035 0.000
Zn 0.285 0.785 0.500



5.
Compound: ScZn3
Source: Alexandria via LeMat-Bulk
Functional: meta-GGA SCAN
Structure: PBEsol geometry

Summary:
Fermi-level density of states, states/eV per atom: 0.640
Total magnetization, μB/f.u.: 0.00
Space group: P6_3/mmc
Theoretical density, Mg/m³: 6.3
ΔE_f, eV per atom: -0.318

a b c (Å): 5.702 5.702 9.051
angles (deg): 90.00 90.00 120.00
Fractional coordinates of all 16 atoms:
Sc 0.000 0.000 0.000
Sc 0.000 0.000 0.500
Sc 0.667 0.333 0.750
Sc 0.333 0.667 0.250
Zn 0.000 0.500 0.000
Zn 0.000 0.500 0.500
Zn 0.826 0.174 0.250
Zn 0.826 0.652 0.250
Zn 0.652 0.826 0.750
Zn 0.500 0.500 0.000
Zn 0.500 0.500 0.500
Zn 0.500 0.000 0.000
Zn 0.500 0.000 0.500
Zn 0.348 0.174 0.250
Zn 0.174 0.348 0.750
Zn 0.174 0.826 0.750



6.
Compound: Sc3Zn
Source: Alexandria via LeMat-Bulk
Functional: meta-GGA SCAN
Structure: PBEsol geometry

Summary:
Fermi-level density of states, states/eV per atom: 1.010
Total magnetization, μB/f.u.: 1.67
Space group: P4/mmm
Theoretical density, Mg/m³: 4.0
ΔE_f, eV per atom: -0.212

a b c (Å): 3.235 3.235 7.997
angles (deg): 90.00 90.00 90.00
Site moments in Bohr magnetons follow the coordinates.
Fractional coordinates of all 4 atoms:
Sc 0.000 0.000 0.787  0.25
Sc 0.000 0.000 0.213  0.25
Sc 0.500 0.500 0.500  0.51
Zn 0.500 0.500 0.000  0.01



7.
Compound: ScZn8
Source: Alexandria via LeMat-Bulk
Functional: meta-GGA SCAN
Structure: PBEsol geometry

Summary:
Fermi-level density of states, states/eV per atom: 0.286
Total magnetization, μB/f.u.: 0.00
Space group: I4/mmm
Theoretical density, Mg/m³: 7.1
ΔE_f, eV per atom: -0.151

a b c (Å): 3.977 6.118 6.118
angles (deg): 83.94 71.03 71.03
Fractional coordinates of all 9 atoms:
Sc 0.000 0.000 0.000
Zn 0.674 0.651 0.000
Zn 0.326 0.349 0.000
Zn 0.000 0.659 0.341
Zn 0.326 0.000 0.349
Zn 0.659 0.341 0.341
Zn 0.674 0.000 0.651
Zn 0.000 0.341 0.659
Zn 0.341 0.659 0.659



8.
Compound: Sc3Zn
Source: Alexandria via LeMat-Bulk
Functional: meta-GGA SCAN
Structure: PBEsol geometry

Summary:
Fermi-level density of states, states/eV per atom: 1.059
Total magnetization, μB/f.u.: 0.00
Space group: P6_3/mmc
Theoretical density, Mg/m³: 4.1
ΔE_f, eV per atom: -0.158

a b c (Å): 4.882 6.191 6.191
angles (deg): 120.00 90.00 90.00
Fractional coordinates of all 8 atoms:
Sc 0.750 0.173 0.345
Sc 0.250 0.827 0.655
Sc 0.750 0.173 0.827
Sc 0.250 0.827 0.173
Sc 0.750 0.655 0.827
Sc 0.250 0.345 0.173
Zn 0.750 0.667 0.333
Zn 0.250 0.333 0.667